[1]
## CdTe2Pt (PBE)

Data for an optimized crystal structure of CdTe2Pt.

a b c (Å): 5.0795 5.0795 5.0825
angles (deg): 69.13 69.13 106.74
Element x y z (fractional)
1 Cd 0.5000 0.0000 0.5000
2 Te 0.5000 0.5000 0.0000
3 Pt 0.0000 0.5000 0.5000
4 Te 0.0000 0.0000 0.0000

Calculated values
Formation energy without anion corrections ... -0.04 eV/atom
Final energy ... -13.4 eV per cell



[2]
## CdTePt2 (PBE)

Data for an optimized crystal structure of CdTePt2.

a b c (Å): 4.3963 4.3963 9.3491
angles (deg): 76.40 76.40 90.00
Element x y z (fractional)
1 Pt 0.6504 0.1250 0.2500
2 Te 0.7500 0.2500 0.5000
3 Cd 0.5000 0.5000 0.0000
4 Pt 0.3750 0.3496 0.7500
5 Pt 0.0996 0.6250 0.2500
6 Cd 0.2500 0.7500 0.5000
7 Pt 0.8750 0.9004 0.7500
8 Te 0.0000 0.0000 0.0000

Calculated values
Formation energy without anion corrections ... -0.01 eV/atom
Energy above the most stable polymorph in this dataset ... 0.453 eV/f.u.
Final energy ... -32.4 eV per cell



[3]
## CdTe2Pt (PBE)

Data for an optimized crystal structure of CdTe2Pt.

a b c (Å): 5.0854 5.0854 5.0854
angles (deg): 60.00 60.00 60.00
Element x y z (fractional)
1 Te 0.2500 0.2500 0.2500
2 Te 0.0000 0.0000 0.0000
3 Cd 0.5000 0.5000 0.5000
4 Pt 0.7500 0.7500 0.7500

Calculated values
Formation energy without anion corrections ... 0.33 eV/atom
Final energy ... -11.9 eV per cell



[4]
## Cd2TePt (PBE)

Data for an optimized crystal structure of Cd2TePt.

a b c (Å): 10.6931 10.6931 10.6931
angles (deg): 16.87 16.87 16.87
Element x y z (fractional)
1 Cd 0.5145 0.5145 0.5145
2 Te 0.7500 0.7500 0.7500
3 Cd 0.9855 0.9855 0.9855
4 Pt 0.2500 0.2500 0.2500

Calculated values
Formation energy without anion corrections ... 0.05 eV/atom
Final energy ... -10.8 eV per cell



[5]
## CdTe2Pt (PBE)

Data for an optimized crystal structure of CdTe2Pt.

a b c (Å): 3.1824 3.1824 9.8873
angles (deg): 90.00 90.00 90.00
Element x y z (fractional)
1 Pt 0.5000 0.5000 0.7318
2 Cd 0.0000 0.0000 0.5534
3 Te 0.5000 0.5000 0.2884
4 Te 0.0000 0.0000 0.9264

Calculated values
Formation energy without anion corrections ... 0.03 eV/atom
Final energy ... -13.1 eV per cell



[6]
## Cd2Te2Pt (PBE)

Data for an optimized crystal structure of Cd2Te2Pt.

a b c (Å): 7.6540 7.6540 4.5196
angles (deg): 90.00 90.00 90.00
Element x y z (fractional)
1 Te 0.1983 0.3017 0.0000
2 Te 0.8017 0.6983 0.0000
3 Cd 0.1315 0.6315 0.5000
4 Cd 0.6315 0.8685 0.5000
5 Pt 0.0000 0.0000 0.0000
6 Te 0.3017 0.8017 0.0000
7 Te 0.6983 0.1983 0.0000
8 Pt 0.5000 0.5000 0.0000
9 Cd 0.3685 0.1315 0.5000
10 Cd 0.8685 0.3685 0.5000

Calculated values
Formation energy without anion corrections ... -0.01 eV/atom
Energy above the most stable polymorph in this dataset ... 0.000 eV/f.u.
Final energy ... -28.4 eV per cell



[7]
## CdTePt2 (PBE)

Data for an optimized crystal structure of CdTePt2.

a b c (Å): 4.7831 4.7831 4.7831
angles (deg): 60.00 60.00 60.00
Element x y z (fractional)
1 Te 0.7500 0.7500 0.7500
2 Pt 0.0000 0.0000 0.0000
3 Pt 0.2500 0.2500 0.2500
4 Cd 0.5000 0.5000 0.5000

Calculated values
Formation energy without anion corrections ... 0.19 eV/atom
Energy above the most stable polymorph in this dataset ... 1.235 eV/f.u.
Final energy ... -15.4 eV per cell



[8]
## Cd2TePt (PBE)

Data for an optimized crystal structure of Cd2TePt.

a b c (Å): 4.1310 3.1934 7.7793
angles (deg): 63.95 90.00 90.00
Element x y z (fractional)
1 Te 0.5000 0.3840 0.7195
2 Cd 0.5000 0.3387 0.2948
3 Pt 0.0000 0.6819 0.4446
4 Cd 0.0000 0.0953 0.0411

Calculated values
Formation energy without anion corrections ... -0.11 eV/atom
Final energy ... -11.4 eV per cell



[9]
## CdTePt3 (PBE)

Data for an optimized crystal structure of CdTePt3.

a b c (Å): 4.9462 4.9462 4.9462
angles (deg): 90.00 90.00 90.00
Element x y z (fractional)
1 Pt 0.0000 0.0000 0.5000
2 Pt 0.5000 0.0000 0.0000
3 Pt 0.0000 0.5000 0.0000
4 Te 0.5000 0.5000 0.5000
5 Cd 0.0000 0.0000 0.0000

Calculated values
Formation energy without anion corrections ... 1.12 eV/atom
Energy above the most stable polymorph in this dataset ... 2.648 eV/f.u.
Final energy ... -16.6 eV per cell



[10]
## CdTe3Pt2 (PBE)

Data for an optimized crystal structure of CdTe3Pt2.

a b c (Å): 5.5409 7.9849 7.9849
angles (deg): 120.00 90.00 90.00
Element x y z (fractional)
1 Pt 0.0000 0.0000 0.5000
2 Cd 0.3086 0.6667 0.3333
3 Cd 0.6914 0.3333 0.6667
4 Te 0.2469 0.6556 0.8278
5 Pt 0.0000 0.5000 0.5000
6 Te 0.2469 0.1722 0.8278
7 Te 0.7531 0.3444 0.1722
8 Te 0.2469 0.1722 0.3444
9 Pt 0.0000 0.0000 0.0000
10 Pt 0.0000 0.5000 0.0000
11 Te 0.7531 0.8278 0.1722
12 Te 0.7531 0.8278 0.6556

Calculated values
Formation energy without anion corrections ... -0.41 eV/atom
Final energy ... -49.7 eV per cell



[11]
## CdTePt2 (PBE)

Data for an optimized crystal structure of CdTePt2.

a b c (Å): 4.7558 4.7558 4.7558
angles (deg): 60.00 60.00 60.00
Element x y z (fractional)
1 Te 0.5000 0.5000 0.5000
2 Cd 0.0000 0.0000 0.0000
3 Pt 0.7500 0.7500 0.7500
4 Pt 0.2500 0.2500 0.2500

Calculated values
Formation energy without anion corrections ... 0.00 eV/atom
Energy above the most stable polymorph in this dataset ... 0.496 eV/f.u.
Final energy ... -16.1 eV per cell



[12]
## CdTePt2 (PBE)

Data for an optimized crystal structure of CdTePt2.

a b c (Å): 4.6505 4.6506 3.5159
angles (deg): 90.00 90.00 89.85
Element x y z (fractional)
1 Pt 0.5000 0.5000 0.0000
2 Te 0.5000 0.0000 0.5000
3 Pt 0.0000 0.0000 0.0000
4 Cd 0.0000 0.5000 0.5000

Calculated values
Formation energy without anion corrections ... -0.07 eV/atom
Energy above the most stable polymorph in this dataset ... 0.210 eV/f.u.
Final energy ... -16.4 eV per cell



| no. | DOS at the Fermi energy (states/eV/f.u.) | magnetization (μB/f.u.) |
| --- | --- | --- |
| 1 | 1.9 | 0.000 |
| 2 | 0.8 | 0.000 |
| 3 | 3.7 | 0.000 |
| 4 | 2.4 | 0.000 |
| 5 | 1.8 | 0.000 |
| 6 | 1.8 | 0.000 |
| 7 | 4.5 | 0.000 |
| 8 | 1.4 | 0.000 |
| 9 | 4.1 | 0.000 |
| 10 | 1.1 | 0.000 |
| 11 | 3.1 | 0.000 |
| 12 | 0.9 | 0.000 |